Record 1
! PBE-GGA HPdCl2, optimized geometry; values from VASP
! **Symmetry**: No. 166
! **Crystal system**: trigonal
! **Total magnetization**: 0.0000 μB per atom
! **Energy relative to the lowest polymorph listed for this composition**: 43.7 kJ per mole of atoms
&SYSTEM
  ibrav = 0, nat = 12, ntyp = 3
/
ATOMIC_SPECIES
H 1.01 H.upf
Pd 106.42 Pd.upf
Cl 35.45 Cl.upf
CELL_PARAMETERS angstrom
3.215 0.000 0.000
-1.608 2.784 0.000
0.000 0.000 21.111
ATOMIC_POSITIONS angstrom
H 0.000 0.000 0.000
H 0.000 1.856 14.074
H 1.608 0.928 7.037
Pd 0.000 0.000 10.556
Pd 0.000 1.856 3.519
Pd 1.608 0.928 17.593
Cl 0.000 0.000 8.282
Cl 0.000 0.000 12.829
Cl 0.000 1.856 1.245
Cl 0.000 1.856 5.792
Cl 1.608 0.928 15.319
Cl 1.608 0.928 19.866

=====

Record 2
! PBE-GGA Zn4Cu2NiAu, optimized geometry; values from VASP
! **Energy relative to the elements**: -1.14 eV/f.u.
! **Symmetry**: No. 166
! **Crystal system**: trigonal
! **Total magnetization**: 0.0000 μB per atom
&SYSTEM
  ibrav = 0, nat = 8, ntyp = 4
/
ATOMIC_SPECIES
Zn 65.41 Zn.upf
Cu 63.55 Cu.upf
Ni 58.69 Ni.upf
Au 196.97 Au.upf
CELL_PARAMETERS angstrom
2.126 1.227 6.993
-2.126 1.227 6.993
0.000 -2.455 6.993
ATOMIC_POSITIONS angstrom
Zn 0.000 0.000 2.477
Zn 0.000 0.000 7.765
Zn 0.000 0.000 13.214
Zn 0.000 0.000 18.502
Cu 0.000 0.000 5.266
Cu 0.000 0.000 15.714
Ni 0.000 0.000 0.000
Au 0.000 0.000 10.490

=====

Record 3
! PBE-GGA CsMgTl2Cl5, optimized geometry; values from VASP
! **Raw formation energy**: -1.5238 eV per atom
! **Symmetry**: No. 71
! **Crystal system**: orthorhombic
! **Total magnetization**: 0.0000 μB per atom
&SYSTEM
  ibrav = 0, nat = 9, ntyp = 4
/
ATOMIC_SPECIES
Cs 132.91 Cs.upf
Mg 24.30 Mg.upf
Tl 204.38 Tl.upf
Cl 35.45 Cl.upf
CELL_PARAMETERS angstrom
-2.501 3.817 7.573
2.501 -3.817 7.573
2.501 3.817 -7.573
ATOMIC_POSITIONS angstrom
Cs 0.000 0.000 0.000
Mg 0.000 0.000 7.573
Tl 2.501 0.000 4.425
Tl 0.000 3.817 3.148
Cl 2.501 2.049 -1.828
Cl 2.501 2.049 1.828
Cl 0.000 3.817 0.000
Cl 0.000 1.768 5.745
Cl 0.000 1.768 9.400

=====

Record 4
! PBE-GGA Zr4Hg3Pb, optimized geometry; values from VASP
! **Energy relative to the elements**: -1.26 eV/f.u.
! **Symmetry**: No. 51
! **Crystal system**: orthorhombic
! **Total magnetization**: 0.0000 μB per atom
&SYSTEM
  ibrav = 0, nat = 16, ntyp = 3
/
ATOMIC_SPECIES
Zr 91.22 Zr.upf
Hg 200.59 Hg.upf
Pb 207.20 Pb.upf
CELL_PARAMETERS angstrom
10.281 0.000 0.000
0.000 6.461 0.000
0.000 0.000 5.330
ATOMIC_POSITIONS angstrom
Zr 0.000 1.586 0.000
Zr 0.000 4.875 0.000
Zr 2.570 1.586 1.977
Zr 2.570 4.875 1.977
Zr 5.140 1.586 0.000
Zr 5.140 4.875 0.000
Zr 7.711 1.586 3.353
Zr 7.711 4.875 3.353
Hg 0.000 0.000 2.665
Hg 2.570 0.000 4.635
Hg 2.570 3.231 4.706
Hg 5.140 0.000 2.665
Hg 7.711 0.000 0.695
Hg 7.711 3.231 0.624
Pb 0.000 3.231 2.665
Pb 5.140 3.231 2.665

=====

Record 5
! PBE-GGA KMg2Tc, optimized geometry; values from VASP
! **Energy relative to the elements**: 4.01 eV/f.u.
! **Symmetry**: No. 216
! **Crystal system**: cubic
! **Total magnetization**: 0.7047 μB per atom
! **Energy relative to the lowest polymorph listed for this composition**: 52.6 kJ per mole of atoms
&SYSTEM
  ibrav = 0, nat = 16, ntyp = 3
/
ATOMIC_SPECIES
K 39.10 K.upf
Mg 24.30 Mg.upf
Tc 98.00 Tc.upf
CELL_PARAMETERS angstrom
7.334 0.000 0.000
0.000 7.334 0.000
0.000 0.000 7.334
ATOMIC_POSITIONS angstrom
K 0.000 0.000 0.000
K 0.000 3.667 3.667
K 3.667 0.000 3.667
K 3.667 3.667 0.000
Mg 0.000 0.000 3.667
Mg 0.000 3.667 0.000
Mg 1.834 1.834 1.834
Mg 1.834 5.501 5.501
Mg 3.667 0.000 0.000
Mg 3.667 3.667 3.667
Mg 5.501 1.834 5.501
Mg 5.501 5.501 1.834
Tc 1.834 1.834 5.501
Tc 1.834 5.501 1.834
Tc 5.501 1.834 1.834
Tc 5.501 5.501 5.501

=====

Record 6
! PBE-GGA SmThGa2Pd5, optimized geometry; values from VASP
! **Energy relative to the elements**: -7.03 eV/f.u.
! **Symmetry**: No. 123
! **Crystal system**: tetragonal
! **Total magnetization**: 0.0000 μB per atom
&SYSTEM
  ibrav = 0, nat = 9, ntyp = 4
/
ATOMIC_SPECIES
Sm 150.36 Sm.upf
Th 232.04 Th.upf
Ga 69.72 Ga.upf
Pd 106.42 Pd.upf
CELL_PARAMETERS angstrom
4.332 0.000 0.000
0.000 4.332 0.000
0.000 0.000 9.054
ATOMIC_POSITIONS angstrom
Sm 0.000 0.000 0.000
Th 0.000 0.000 4.527
Ga 2.166 2.166 3.268
Ga 2.166 2.166 5.786
Pd 0.000 2.166 2.031
Pd 0.000 2.166 7.023
Pd 2.166 0.000 2.031
Pd 2.166 0.000 7.023
Pd 2.166 2.166 0.000

=====

Record 7
! PBE-GGA LaY2Ho5, optimized geometry; values from VASP
! **Energy relative to the elements**: 0.22 eV/f.u.
! **Symmetry**: No. 55
! **Crystal system**: orthorhombic
! **Total magnetization**: 0.0000 μB per atom
&SYSTEM
  ibrav = 0, nat = 16, ntyp = 3
/
ATOMIC_SPECIES
La 138.91 La.upf
Y 88.91 Y.upf
Ho 164.93 Ho.upf
CELL_PARAMETERS angstrom
7.139 0.000 0.000
0.000 14.285 0.000
0.000 0.000 5.031
ATOMIC_POSITIONS angstrom
La 0.000 0.000 0.000
La 3.569 7.142 0.000
Y 1.774 5.334 2.515
Y 1.796 12.476 2.515
Y 5.343 1.809 2.515
Y 5.365 8.951 2.515
Ho 0.000 7.142 0.000
Ho 0.005 10.680 0.000
Ho 1.778 8.948 2.515
Ho 1.792 1.806 2.515
Ho 3.564 3.538 0.000
Ho 3.569 0.000 0.000
Ho 3.575 10.747 0.000
Ho 5.347 12.479 2.515
Ho 5.361 5.337 2.515
Ho 7.133 3.605 0.000

=====

Record 8
! PBE-GGA Pm2NdHoBi4, optimized geometry; values from VASP
! **Energy relative to the elements**: -7.30 eV/f.u.
! **Symmetry**: No. 10
! **Crystal system**: monoclinic
! **Total magnetization**: 0.0000 μB per atom
&SYSTEM
  ibrav = 0, nat = 8, ntyp = 4
/
ATOMIC_SPECIES
Pm 145.00 Pm.upf
Nd 144.24 Nd.upf
Ho 164.93 Ho.upf
Bi 208.98 Bi.upf
CELL_PARAMETERS angstrom
7.893 0.000 0.000
0.000 4.561 0.000
-2.633 0.000 7.443
ATOMIC_POSITIONS angstrom
Pm 0.000 0.000 0.000
Pm 3.947 2.280 0.000
Nd -1.316 2.280 3.722
Ho 2.630 0.000 3.722
Bi 0.034 0.000 5.571
Bi 1.350 2.280 1.896
Bi 3.911 2.280 5.547
Bi 5.227 0.000 1.872

=====

Record 9
! PBE-GGA CeZrRe4, optimized geometry; values from VASP
! **Energy relative to the elements**: -0.64 eV/f.u.
! **Symmetry**: No. 216
! **Crystal system**: cubic
! **Total magnetization**: 0.0002 μB per atom
&SYSTEM
  ibrav = 0, nat = 6, ntyp = 3
/
ATOMIC_SPECIES
Ce 140.12 Ce.upf
Zr 91.22 Zr.upf
Re 186.21 Re.upf
CELL_PARAMETERS angstrom
0.000 3.819 3.819
3.819 0.000 3.819
3.819 3.819 0.000
ATOMIC_POSITIONS angstrom
Ce 0.000 0.000 0.000
Zr 5.729 5.729 5.729
Re 2.867 2.867 2.867
Re 4.771 4.771 2.867
Re 4.771 2.867 4.771
Re 2.867 4.771 4.771

=====

Record 10
! PBE-GGA Ba3AlCu2O6, optimized geometry; values from VASP
! **Raw formation energy**: -1.8732 eV per atom
! **Symmetry**: No. 164
! **Crystal system**: trigonal
! **Total magnetization**: 0.0879 μB per atom
&SYSTEM
  ibrav = 0, nat = 12, ntyp = 4
/
ATOMIC_SPECIES
Ba 137.33 Ba.upf
Al 26.98 Al.upf
Cu 63.55 Cu.upf
O 16.00 O.upf
CELL_PARAMETERS angstrom
5.868 0.000 0.000
-2.934 5.082 0.000
0.000 0.000 6.740
ATOMIC_POSITIONS angstrom
Ba 0.000 0.000 0.000
Ba 0.000 3.388 4.451
Ba 2.934 1.694 2.289
Al 0.000 0.000 3.370
Cu 0.000 3.388 1.556
Cu 2.934 1.694 5.183
O 0.000 1.579 2.189
O -1.567 4.293 2.189
O 1.368 0.790 4.551
O 1.567 4.293 2.189
O 4.501 0.790 4.551
O 2.934 3.503 4.551

=====

Record 11
! PBE-GGA CeCo4, optimized geometry; values from VASP
! **Energy relative to the elements**: 7.24 eV/f.u.
! **Symmetry**: No. 221
! **Crystal system**: cubic
! **Total magnetization**: 0.6589 μB per atom
! **Energy relative to the lowest polymorph listed for this composition**: 141.8 kJ per mole of atoms
&SYSTEM
  ibrav = 0, nat = 5, ntyp = 2
/
ATOMIC_SPECIES
Ce 140.12 Ce.upf
Co 58.93 Co.upf
CELL_PARAMETERS angstrom
4.443 0.000 0.000
0.000 4.443 0.000
0.000 0.000 4.443
ATOMIC_POSITIONS angstrom
Ce 0.000 0.000 0.000
Co 0.000 0.000 2.222
Co 0.000 2.222 0.000
Co 2.222 0.000 0.000
Co 2.222 2.222 2.222

=====

| no. | uncorrected energy (eV per atom) |
| --- | --- |
| 1 | -2.736 |
| 2 | -2.936 |
| 3 | -3.348 |
| 4 | -5.008 |
| 5 | -2.661 |
| 6 | -5.687 |
| 7 | -5.066 |
| 8 | -5.209 |
| 9 | -10.819 |
| 10 | -5.828 |
| 11 | -5.424 |